DFT (GGA-PBE) results for an optimized crystal structure of BaScMo2W.

Summary:
energy of formation: 2.861 eV/atom
calculated density: 7.44 Mg/m³
E: -5.713 eV per atom
space group: P4/mmm (123)

a b c (Å): 4.964 5.058 4.964
angles (deg): 90.00 90.00 90.00
Positions (direct):
1 Sc 0.500 0.500 0.500
2 Mo 0.000 0.000 0.500
3 Mo 0.500 0.000 0.000
4 Ba 0.000 0.000 0.000
5 W 0.000 0.500 0.000